Record 1
Here is crystalline La4BePt at its relaxed geometry from Alexandria via LeMat-Bulk. Energies are from GGA-PBE.

The calculation puts the total moment at 0.00 μB/atom. The calculation puts the formation energy at 0.608 eV per atom. Its density of states at the Fermi level is 9.393 states/eV/f.u.

The space group is F-43m (No. 216) and the conventional cell measures 8.813, 8.813 and 8.813 Å, with angles of 90.00, 90.00 and 90.00 degrees. The distinct sites, in fractional coordinates, are La at (0.124, 0.124, 0.124), Be at (0.000, 0.000, 0.500) and Pt at (0.250, 0.250, 0.750).

Record 2
Here is crystalline LaBePt2 at its relaxed geometry from Alexandria via LeMat-Bulk. Energies are from GGA-PBE.

The calculation puts the total moment at 0.00 μB/atom. The calculation puts the formation energy at -0.536 eV per atom. Its density of states at the Fermi level is 1.882 states/eV/f.u.

The space group is Pmm2 (No. 25) and the conventional cell measures 3.431, 3.454 and 6.479 Å, with angles of 90.00, 90.00 and 90.00 degrees. The distinct sites, in fractional coordinates, are La at (0.000, 0.000, 0.000), Be at (0.500, 0.500, 0.603), Pt at (0.000, 0.000, 0.551) and Pt at (0.500, 0.500, 0.252).

Record 3
Here is crystalline LaBePt3 at its relaxed geometry from Alexandria via LeMat-Bulk. Energies are from GGA-PBE.

The calculation puts the polymorph energy (0 for the lowest one) at 0.016 eV per atom. The calculation puts the total moment at 0.00 μB/atom. The calculation puts the formation energy at -0.935 eV per atom. Its density of states at the Fermi level is 2.096 states/eV/f.u.

The space group is P6/mmm (No. 191) and the conventional cell measures 5.4692, 5.4692 and 6.9333 Å, with angles of 90.00, 90.00 and 120.00 degrees. The distinct sites, in fractional coordinates, are La at (0.0000, 0.0000, 0.0000), La at (0.0000, 0.0000, 0.5000), Be at (0.3333, 0.6667, 0.0000) and Pt at (0.0000, 0.5000, 0.2534).

Record 4
Here is crystalline LaBePt3 at its relaxed geometry from Alexandria via LeMat-Bulk. Energies are from GGA-PBE.

The calculation puts the polymorph energy (0 for the lowest one) at 0.029 eV per atom. The calculation puts the total moment at 0.00 μB/atom. The calculation puts the formation energy at -0.923 eV per atom. Its density of states at the Fermi level is 1.903 states/eV/f.u.

The space group is P6_3/mmc (No. 194) and the conventional cell measures 5.9164, 5.9164 and 5.8742 Å, with angles of 90.00, 90.00 and 120.00 degrees. The distinct sites, in fractional coordinates, are La at (0.3333, 0.6667, 0.2500), Be at (0.0000, 0.0000, 0.0000) and Pt at (0.1744, 0.3488, 0.7500).

Record 5
Here is crystalline LaBePt3 at its relaxed geometry from Alexandria via LeMat-Bulk. Energies are from GGA-PBE.

The calculation puts the polymorph energy (0 for the lowest one) at 0.076 eV per atom. The calculation puts the total moment at 0.00 μB/atom. The calculation puts the formation energy at -0.875 eV per atom. Its density of states at the Fermi level is 2.160 states/eV/f.u.

The space group is Amm2 (No. 38) and the conventional cell measures 4.407, 6.863 and 5.890 Å, with angles of 90.00, 90.00 and 90.00 degrees. The distinct sites, in fractional coordinates, are La at (0.000, 0.000, 0.000), Be at (0.500, 0.000, 0.601), Pt at (0.000, 0.000, 0.497) and Pt at (0.500, 0.217, 0.287).

Record 6
Here is crystalline La2BePt3 at its relaxed geometry from Alexandria via LeMat-Bulk. Energies are from GGA-PBE.

The calculation puts the total moment at 0.00 μB/atom. The calculation puts the formation energy at -1.007 eV per atom. Its density of states at the Fermi level is 3.078 states/eV/f.u.

The space group is Fmmm (No. 69) and the conventional cell measures 8.051, 8.612 and 15.114 Å, with angles of 90.00, 90.00 and 90.00 degrees. The distinct sites, in fractional coordinates, are La at (0.250, 0.000, 0.000), La at (0.250, 0.250, 0.250), Be at (0.000, 0.000, 0.169), Pt at (0.000, 0.000, 0.317) and Pt at (0.000, 0.220, 0.091).

Record 7
Here is crystalline La2BePt at its relaxed geometry from Alexandria via LeMat-Bulk. Energies are from GGA-PBE.

The calculation puts the total moment at 0.00 μB/atom. The calculation puts the formation energy at -0.419 eV per atom. Its density of states at the Fermi level is 3.371 states/eV/f.u.

The space group is Pmmm (No. 47) and the conventional cell measures 3.687, 3.716 and 7.002 Å, with angles of 90.00, 90.00 and 90.00 degrees. The distinct sites, in fractional coordinates, are La at (0.000, 0.000, 0.247), Be at (0.500, 0.500, 0.000) and Pt at (0.500, 0.500, 0.500).

Record 8
Here is crystalline LaBePt at its relaxed geometry from Alexandria via LeMat-Bulk. Energies are from GGA-PBE.

The calculation puts the polymorph energy (0 for the lowest one) at 1.046 eV per atom. The calculation puts the total moment at 0.00 μB/atom. The calculation puts the formation energy at 0.273 eV per atom. Its density of states at the Fermi level is 2.714 states/eV/f.u.

The space group is F-43m (No. 216) and the conventional cell measures 6.774, 6.774 and 6.774 Å, with angles of 90.00, 90.00 and 90.00 degrees. The distinct sites, in fractional coordinates, are La at (0.000, 0.000, 0.000), Be at (0.250, 0.250, 0.750) and Pt at (0.250, 0.250, 0.250).

Record 9
Here is crystalline LaBePt3 at its relaxed geometry from Alexandria via LeMat-Bulk. Energies are from GGA-PBE.

The calculation puts the polymorph energy (0 for the lowest one) at 0.729 eV per atom. The calculation puts the total moment at 0.00 μB/atom. The calculation puts the formation energy at -0.222 eV per atom. Its density of states at the Fermi level is 1.748 states/eV/f.u.

The space group is R3m (No. 160, hexagonal axes) and the conventional cell measures 5.4895, 5.4895 and 14.8036 Å, with angles of 90.00, 90.00 and 120.00 degrees. The distinct sites, in fractional coordinates, are La at (0.0000, 0.0000, 0.0000), Be at (0.0000, 0.0000, 0.2585) and Pt at (0.0107, 0.5053, 0.4951).

Record 10
Here is crystalline LaBePt2 at its relaxed geometry from Alexandria via LeMat-Bulk. Energies are from GGA-PBE.

The calculation puts the total moment at 0.00 μB/atom. The calculation puts the formation energy at -0.823 eV per atom. Its density of states at the Fermi level is 2.041 states/eV/f.u.

The space group is Pm (No. 6) and the conventional cell measures 4.166, 4.418 and 4.561 Å, with angles of 90.00, 90.20 and 90.00 degrees. The distinct sites, in fractional coordinates, are La at (0.000, 0.000, 0.000), Be at (0.495, 0.500, 0.625), Pt at (0.500, 0.000, 0.509) and Pt at (0.500, 0.500, 0.117).

Record 11
Here is crystalline LaBePt3 at its relaxed geometry from Alexandria via LeMat-Bulk. Energies are from GGA-PBE.

The calculation puts the polymorph energy (0 for the lowest one) at 0.101 eV per atom. The calculation puts the total moment at 0.00 μB/atom. The calculation puts the formation energy at -0.850 eV per atom. Its density of states at the Fermi level is 1.704 states/eV/f.u.

The space group is Cmcm (No. 63) and the conventional cell measures 6.886, 5.953 and 8.817 Å, with angles of 90.00, 90.00 and 90.00 degrees. The distinct sites, in fractional coordinates, are La at (0.000, 0.069, 0.250), Be at (0.000, 0.500, 0.000), Pt at (0.000, 0.401, 0.750) and Pt at (0.250, 0.250, 0.000).

Record 12
Here is crystalline LaBePt3 at its relaxed geometry from Alexandria via LeMat-Bulk. Energies are from GGA-PBE.

The calculation puts the polymorph energy (0 for the lowest one) at 0.745 eV per atom. The calculation puts the total moment at 0.00 μB/atom. The calculation puts the formation energy at -0.206 eV per atom. Its density of states at the Fermi level is 2.753 states/eV/f.u.

The space group is Cmcm (No. 63) and the conventional cell measures 6.692, 18.796 and 5.010 Å, with angles of 90.00, 90.00 and 90.00 degrees. The distinct sites, in fractional coordinates, are La at (0.000, 0.135, 0.250), Be at (0.000, 0.288, 0.250), Pt at (0.000, 0.000, 0.000) and Pt at (0.197, 0.253, 0.750).